# LaTcCl2 GGA-PBE optimized geometry
# **Total moment**: 2.89 μB/f.u.
# **Energy relative to the lowest polymorph listed for this composition**: 0.3595 eV per atom
# **Formation energy (no corrections)**: -0.400 eV per atom
# **V**: 86.2 Å³ per cell
# **DFT total energy**: -5.147 eV per atom
# **Density of states at the Fermi level**: 0.71 states/eV/atom
data_LaTcCl2
_space_group_name_H-M_alt 'P 1'
_space_group_IT_number 1
_cell_length_a 4.547
_cell_length_b 4.547
_cell_length_c 4.167
_cell_angle_alpha 90.00
_cell_angle_beta 90.00
_cell_angle_gamma 90.00
loop_
_space_group_symop_operation_xyz
'x,y,z'
loop_
_atom_site_label
_atom_site_fract_x
_atom_site_fract_y
_atom_site_fract_z
Tc1 0.000 0.500 0.500
Cl1 0.500 0.500 0.000
Cl2 0.000 0.000 0.000
La1 0.500 0.000 0.500